No. 1
Entry from the Alexandria database: a geometry-optimized PrSmInCo structure (PBE).

a b c (Å): 5.255 5.255 5.255
angles (deg): 60.00 60.00 60.00
Fractional positions:
Pr (0.000, 0.000, 0.000)
Sm (0.500, 0.500, 0.500)
In (0.750, 0.750, 0.750)
Co (0.250, 0.250, 0.250)



No. 2
Entry from the Alexandria database: a geometry-optimized InCoPt3 structure (PBE).

a b c (Å): 4.604 4.604 4.604
angles (deg): 90.00 90.00 90.00
Fractional positions:
In (0.000, 0.000, 0.000)
Co (0.500, 0.500, 0.500)
Pt (0.000, 0.500, 0.500)
Pt (0.500, 0.000, 0.500)
Pt (0.500, 0.500, 0.000)

The energy above the most stable polymorph in this dataset is 0 meV/atom.



No. 3
Entry from the Alexandria database: a geometry-optimized InCoPt3 structure (PBE).

a b c (Å): 4.911 4.911 4.911
angles (deg): 90.00 90.00 90.00
Fractional positions:
In (0.000, 0.000, 0.000)
Co (0.500, 0.500, 0.500)
Pt (0.000, 0.000, 0.500)
Pt (0.000, 0.500, 0.000)
Pt (0.500, 0.000, 0.000)

The energy above the most stable polymorph in this dataset is 876 meV/atom.



No. 4
Entry from the Alexandria database: a geometry-optimized InCoPt structure (PBE).

a b c (Å): 5.876 5.876 5.876
angles (deg): 151.11 151.11 41.31
Fractional positions:
In (0.000, 0.000, 0.000)
Co (0.667, 0.667, 0.000)
Pt (0.313, 0.313, 0.000)



No. 5
Entry from the Alexandria database: a geometry-optimized In2Co2Pt structure (PBE).

a b c (Å): 6.493 6.493 3.813
angles (deg): 90.00 90.00 90.00
Fractional positions:
In (0.178, 0.322, 0.000)
In (0.322, 0.822, 0.000)
In (0.678, 0.178, 0.000)
In (0.822, 0.678, 0.000)
Co (0.122, 0.622, 0.500)
Co (0.378, 0.122, 0.500)
Co (0.622, 0.878, 0.500)
Co (0.878, 0.378, 0.500)
Pt (0.000, 0.000, 0.500)
Pt (0.500, 0.500, 0.500)



No. 6
Entry from the Alexandria database: a geometry-optimized InCoPt structure (PBE).

a b c (Å): 4.903 4.903 4.903
angles (deg): 145.52 134.36 58.44
Fractional positions:
In (0.000, 0.000, 0.000)
Co (0.332, 0.332, 0.000)
Pt (0.676, 0.676, 0.000)



No. 7
Entry from the Alexandria database: a geometry-optimized In2CoPt9 structure (PBE).

a b c (Å): 4.000 4.000 11.988
angles (deg): 90.00 90.00 90.00
Fractional positions:
In (0.000, 0.000, 0.171)
In (0.000, 0.000, 0.829)
Co (0.000, 0.000, 0.500)
Pt (0.000, 0.500, 0.000)
Pt (0.000, 0.500, 0.345)
Pt (0.000, 0.500, 0.655)
Pt (0.500, 0.000, 0.000)
Pt (0.500, 0.000, 0.345)
Pt (0.500, 0.000, 0.655)
Pt (0.500, 0.500, 0.172)
Pt (0.500, 0.500, 0.500)
Pt (0.500, 0.500, 0.828)



No. 8
Entry from the Alexandria database: a geometry-optimized InCo3Pt structure (PBE).

a b c (Å): 4.637 4.637 4.637
angles (deg): 90.00 90.00 90.00
Fractional positions:
In (0.000, 0.000, 0.000)
Co (0.000, 0.500, 0.500)
Co (0.500, 0.000, 0.500)
Co (0.500, 0.500, 0.000)
Pt (0.500, 0.500, 0.500)

The energy above the most stable polymorph in this dataset is 0 meV/atom.



Formation enthalpy at 0 K for every record listed, in sequence, given in eV/atom: -0.109 0.612 1.488 -0.019 0.039 -0.025 -0.264 1.021.